w | {"formula": "CaHg2Br6", "functional": "PBE-GGA", "state": "optimized geometry", "cell": [[7.5225, -0.4223, -0.4088], [1.6722, 9.1700, 0.0731], [1.6722, 0.3702, 9.1628]], "species": ["Ca", "Ca", "Hg", "Hg", "Hg", "Hg", "Br", "Br", "Br", "Br", "Br", "Br", "Br", "Br", "Br", "Br", "Br", "Br"], "fractional_positions": [[0.2500, 0.0978, 0.9022], [0.7500, 0.9022, 0.0978], [0.1773, 0.5914, 0.7636], [0.3227, 0.2364, 0.4086], [0.8227, 0.4086, 0.2364], [0.6773, 0.7636, 0.5914], [0.3539, 0.7211, 0.5305], [0.1461, 0.4695, 0.2789], [0.6461, 0.2789, 0.4695], [0.8539, 0.5305, 0.7211], [0.8855, 0.8748, 0.3761], [0.6145, 0.6239, 0.1252], [0.1145, 0.1252, 0.6239], [0.3855, 0.3761, 0.8748], [0.1139, 0.8094, 0.9616], [0.3861, 0.0384, 0.1906], [0.8861, 0.1906, 0.0384], [0.6139, 0.9616, 0.8094]], "spacegroup": "No. 15", "total_magnetization_mub_per_atom": 0.00}

***

x | {"formula": "CaHg2Br6", "functional": "PBE-GGA", "state": "optimized geometry", "cell": [[-0.3077, 0.0114, 4.2804], [-7.2345, -2.5000, -2.6663], [7.9050, -8.3621, 0.5924]], "species": ["Ca", "Hg", "Hg", "Br", "Br", "Br", "Br", "Br", "Br"], "fractional_positions": [[0.0000, 0.0000, 0.0000], [0.8034, 0.6071, 0.2793], [0.1966, 0.3929, 0.7207], [0.3434, 0.6872, 0.4329], [0.6566, 0.3128, 0.5671], [0.1424, 0.2840, 0.9047], [0.6046, 0.2091, 0.1783], [0.8576, 0.7160, 0.0953], [0.3954, 0.7909, 0.8217]], "spacegroup": "No. 12", "total_magnetization_mub_per_atom": 0.00}

***

Computed stability ranking, most favorable first: w, x

***

w | {"formula": "CaHgBr3", "functional": "PBE-GGA", "state": "optimized geometry", "cell": [[-1.0631, 3.6373, -4.2233], [-4.8332, -2.7430, -1.1458], [-2.7761, 3.3827, 3.6121]], "species": ["Ca", "Hg", "Br", "Br", "Br"], "fractional_positions": [[0.0000, 0.0000, 0.0000], [0.5000, 0.5000, 0.5000], [0.0000, 0.5000, 0.0000], [0.0000, 0.0000, 0.5000], [0.5000, 0.0000, 0.0000]], "spacegroup": "No. 221", "total_magnetization_mub_per_atom": 0.00}

***

x | {"formula": "CaHgBr3", "functional": "PBE-GGA", "state": "optimized geometry", "cell": [[5.6090, 0.0000, 0.0000], [0.0000, 5.6090, 0.0000], [0.0000, 0.0000, 5.6090]], "species": ["Ca", "Hg", "Br", "Br", "Br"], "fractional_positions": [[0.5000, 0.5000, 0.5000], [0.0000, 0.0000, 0.0000], [0.0000, 0.5000, 0.0000], [0.0000, 0.0000, 0.5000], [0.5000, 0.0000, 0.0000]], "spacegroup": "No. 221", "total_magnetization_mub_per_atom": 0.00}

***

Computed stability ranking, most favorable first: w, x

***

w | {"formula": "CaHgSeBr2", "functional": "PBE-GGA", "state": "optimized geometry", "cell": [[-3.1173, -4.6658, -0.2857], [2.8472, -2.1675, 4.3317], [-3.9629, 2.4142, 3.8128]], "species": ["Ca", "Se", "Hg", "Br", "Br"], "fractional_positions": [[0.0000, 0.0000, 0.0000], [0.0000, 0.0000, 0.5000], [0.5000, 0.5000, 0.5000], [0.0000, 0.5000, 0.0000], [0.5000, 0.0000, 0.0000]], "spacegroup": "No. 123", "total_magnetization_mub_per_atom": 0.37}

***

x | {"formula": "CaHgSeBr2", "functional": "PBE-GGA", "state": "optimized geometry", "cell": [[5.4749, 0.0000, 0.0000], [0.0000, 5.4749, 0.0000], [0.0000, 0.0000, 5.3980]], "species": ["Ca", "Se", "Hg", "Br", "Br"], "fractional_positions": [[0.5000, 0.5000, 0.5000], [0.0000, 0.0000, 0.5000], [0.0000, 0.0000, 0.0000], [0.0000, 0.5000, 0.0000], [0.5000, 0.0000, 0.0000]], "spacegroup": "No. 123", "total_magnetization_mub_per_atom": 0.00}

***

Computed stability ranking, most favorable first: w, x

***

w | {"formula": "CaIBr2", "functional": "PBE-GGA", "state": "optimized geometry", "cell": [[-0.1255, 0.4326, -4.4772], [5.7379, -5.0925, -0.6808], [-3.6922, -9.2572, -2.9246]], "species": ["I", "I", "Ca", "Ca", "Br", "Br", "Br", "Br"], "fractional_positions": [[0.5513, 0.1788, 0.4049], [0.4487, 0.8212, 0.5951], [0.7264, 0.2184, 0.0474], [0.2736, 0.7816, 0.9526], [0.8270, 0.0343, 0.8369], [0.1730, 0.9657, 0.1631], [0.6906, 0.5566, 0.1296], [0.3094, 0.4434, 0.8704]], "spacegroup": "No. 2", "total_magnetization_mub_per_atom": 0.00}

***

x | {"formula": "CaIBr2", "functional": "PBE-GGA", "state": "optimized geometry", "cell": [[5.7166, -0.0001, -0.0004], [2.6970, 7.5940, -0.0005], [2.2043, 0.6915, 7.9581]], "species": ["I", "I", "Ca", "Ca", "Br", "Br", "Br", "Br"], "fractional_positions": [[0.4324, 0.1771, 0.3436], [0.9633, 0.4426, 0.4013], [0.6158, 0.4026, 0.7812], [0.3499, 0.9596, 0.7329], [0.4252, 0.6824, 0.9879], [0.4497, 0.6767, 0.5155], [0.1334, 0.3057, 0.8666], [0.8200, 0.0228, 0.7334]], "spacegroup": "No. 1", "total_magnetization_mub_per_atom": 0.00}

***

y | {"formula": "CaIBr2", "functional": "PBE-GGA", "state": "optimized geometry", "cell": [[6.1137, 0.0000, 0.0119], [0.0000, 4.1348, 0.0000], [-4.9270, 0.0000, 14.7998]], "species": ["I", "I", "Ca", "Ca", "Br", "Br", "Br", "Br"], "fractional_positions": [[0.0415, 0.0000, 0.1452], [0.0415, 0.5000, 0.6452], [0.4241, 0.0000, 0.7664], [0.4241, 0.5000, 0.2664], [0.5492, 0.0000, 0.1485], [0.5492, 0.5000, 0.6485], [0.5353, 0.0000, 0.3952], [0.5353, 0.5000, 0.8952]], "spacegroup": "No. 8", "total_magnetization_mub_per_atom": 0.00}

***

Computed stability ranking, most favorable first: w, x, y

***

w | {"formula": "CaIBr2", "functional": "PBE-GGA", "state": "optimized geometry", "cell": [[4.3640, 0.0000, 0.0000], [0.0331, 7.4485, 0.0000], [0.1925, 1.7540, 12.0041]], "species": ["I", "I", "Ca", "Ca", "Br", "Br", "Br", "Br"], "fractional_positions": [[0.4100, 0.9570, 0.4012], [0.5900, 0.0430, 0.5988], [0.2513, 0.2526, 0.0033], [0.7487, 0.7474, 0.9967], [0.2546, 0.6123, 0.8708], [0.7454, 0.3877, 0.1292], [0.2425, 0.8828, 0.1266], [0.7575, 0.1172, 0.8734]], "spacegroup": "No. 2", "total_magnetization_mub_per_atom": 0.00}

***

x | {"formula": "CaIBr2", "functional": "PBE-GGA", "state": "optimized geometry", "cell": [[-1.7953, 5.4482, -0.1202], [-5.8100, 0.8976, 5.0174], [4.7196, 4.4938, 6.1967]], "species": ["I", "I", "Ca", "Ca", "Br", "Br", "Br", "Br"], "fractional_positions": [[0.2864, 0.9747, 0.6074], [0.7136, 0.0253, 0.3926], [0.3879, 0.7653, 0.9378], [0.6121, 0.2347, 0.0622], [0.3823, 0.5694, 0.2184], [0.6177, 0.4306, 0.7816], [0.8552, 0.8702, 0.9019], [0.1448, 0.1298, 0.0981]], "spacegroup": "No. 2", "total_magnetization_mub_per_atom": 0.00}

***

y | {"formula": "CaIBr2", "functional": "PBE-GGA", "state": "optimized geometry", "cell": [[9.3281, 0.0000, -0.0003], [0.0000, 6.0554, 0.0000], [-7.9236, 0.0000, 12.1582]], "species": ["I", "I", "I", "I", "Ca", "Ca", "Ca", "Ca", "Br", "Br", "Br", "Br", "Br", "Br", "Br", "Br"], "fractional_positions": [[0.0287, 0.0000, 0.7137], [0.0287, 0.5000, 0.2137], [0.4873, 0.0000, 0.2208], [0.4873, 0.5000, 0.7208], [0.3209, 0.0000, 0.9605], [0.3209, 0.5000, 0.4605], [0.9588, 0.0000, 0.2010], [0.9588, 0.5000, 0.7010], [0.6454, 0.0000, 0.9954], [0.6454, 0.5000, 0.4954], [0.8274, 0.0000, 0.3448], [0.8274, 0.5000, 0.8448], [0.1282, 0.0000, 0.0687], [0.1282, 0.5000, 0.5687], [0.2727, 0.0000, 0.4248], [0.2727, 0.5000, 0.9248]], "spacegroup": "No. 8", "total_magnetization_mub_per_atom": 0.00}

***

Computed stability ranking, most favorable first: w, x, y

***

w | {"formula": "CaIBr2", "functional": "PBE-GGA", "state": "optimized geometry", "cell": [[-8.6393, 6.5516, 6.7990], [-8.2300, 3.2881, 9.2327], [-5.6109, 6.4158, 9.5469]], "species": ["I", "Ca", "Br", "Br"], "fractional_positions": [[0.0000, 0.0000, 0.0000], [0.5000, 0.5000, 0.5000], [0.8772, 0.8772, 0.8772], [0.1228, 0.1228, 0.1228]], "spacegroup": "No. 166", "total_magnetization_mub_per_atom": 0.21}

***

x | {"formula": "CaIBr2", "functional": "PBE-GGA", "state": "optimized geometry", "cell": [[0.0000, 3.9465, 3.9465], [3.9465, 0.0000, 3.9465], [3.9465, 3.9465, 0.0000]], "species": ["I", "Ca", "Br", "Br"], "fractional_positions": [[0.5000, 0.5000, 0.5000], [0.0000, 0.0000, 0.0000], [0.2500, 0.2500, 0.2500], [0.7500, 0.7500, 0.7500]], "spacegroup": "No. 225", "total_magnetization_mub_per_atom": 0.25}

***

y | {"formula": "CaIBr2", "functional": "PBE-GGA", "state": "optimized geometry", "cell": [[-2.3356, 4.9061, 1.5613], [-5.5053, -5.7473, 1.3249], [5.4329, -2.6127, 6.4784]], "species": ["I", "I", "Ca", "Ca", "Br", "Br", "Br", "Br"], "fractional_positions": [[0.6571, 0.3702, 0.8247], [0.2568, 0.4006, 0.5442], [0.4554, 0.8099, 0.6658], [0.1128, 0.7478, 0.0548], [0.3533, 0.9331, 0.3771], [0.0749, 0.3981, 0.1099], [0.0116, 0.8654, 0.7371], [0.6303, 0.8375, 0.0169]], "spacegroup": "No. 1", "total_magnetization_mub_per_atom": 0.00}

***

z | {"formula": "CaIBr2", "functional": "PBE-GGA", "state": "optimized geometry", "cell": [[-3.2028, 4.7839, 0.9561], [-4.9536, -1.2989, 5.6405], [2.9797, 1.7556, 7.5891]], "species": ["I", "I", "Ca", "Ca", "Br", "Br", "Br", "Br"], "fractional_positions": [[0.5308, 0.3053, 0.1749], [0.2366, 0.0298, 0.9179], [0.4323, 0.6487, 0.7871], [0.9932, 0.3425, 0.2804], [0.4980, 0.2538, 0.7202], [0.1552, 0.9266, 0.4773], [0.9251, 0.6449, 0.9224], [0.7809, 0.5179, 0.5301]], "spacegroup": "No. 1", "total_magnetization_mub_per_atom": 0.00}

***

Computed stability ranking, most favorable first: y, z, w, x

***

w | {"formula": "CaIBr2", "functional": "PBE-GGA", "state": "optimized geometry", "cell": [[4.3711, 0.0000, 0.0007], [1.6366, 5.4433, 0.0006], [0.8330, 2.5976, 7.5701]], "species": ["I", "Ca", "Br", "Br"], "fractional_positions": [[0.3889, 0.6125, 0.3148], [0.3862, 0.0044, 0.5413], [0.8894, 0.1305, 0.2771], [0.8833, 0.8920, 0.7774]], "spacegroup": "No. 1", "total_magnetization_mub_per_atom": 0.00}

***

x | {"formula": "CaIBr2", "functional": "PBE-GGA", "state": "optimized geometry", "cell": [[6.0786, 0.0000, 0.0000], [2.6684, 7.3150, 0.0000], [2.7253, 1.5074, 7.1809]], "species": ["I", "I", "Ca", "Ca", "Br", "Br", "Br", "Br"], "fractional_positions": [[0.2057, 0.6024, 0.7575], [0.0692, 0.0396, 0.0874], [0.4500, 0.4197, 0.4047], [0.6806, 0.6701, 0.7498], [0.4993, 0.7801, 0.1254], [0.5649, 0.0471, 0.5835], [0.6460, 0.2964, 0.0410], [0.9162, 0.4750, 0.4405]], "spacegroup": "No. 1", "total_magnetization_mub_per_atom": 0.00}

***

y | {"formula": "CaIBr2", "functional": "PBE-GGA", "state": "optimized geometry", "cell": [[-0.0823, -3.5138, -2.5409], [6.3429, 2.1408, -3.1624], [3.1830, -6.7048, 9.1493]], "species": ["Ca", "Ca", "I", "I", "Br", "Br", "Br", "Br"], "fractional_positions": [[0.2777, 0.8428, 0.5515], [0.7777, 0.3431, 0.5519], [0.7774, 0.7505, 0.0476], [0.2774, 0.4359, 0.0558], [0.7781, 0.6198, 0.4152], [0.2782, 0.1199, 0.4146], [0.2775, 0.5661, 0.6881], [0.7774, 0.0660, 0.6887]], "spacegroup": "No. 2", "total_magnetization_mub_per_atom": 0.25}

***

Computed stability ranking, most favorable first: x, y, w

***

w | {"formula": "CaIBr2", "functional": "PBE-GGA", "state": "optimized geometry", "cell": [[5.6729, 0.0000, 0.0000], [1.1167, 7.4663, 0.0000], [2.1612, 2.6129, 7.4368]], "species": ["I", "I", "Ca", "Ca", "Br", "Br", "Br", "Br"], "fractional_positions": [[0.7971, 0.5990, 0.0099], [0.7920, 0.9178, 0.3671], [0.6527, 0.4906, 0.4318], [0.3406, 0.4254, 0.9881], [0.3653, 0.7400, 0.6300], [0.6397, 0.2163, 0.7726], [0.1771, 0.0286, 0.0996], [0.2036, 0.3926, 0.3703]], "spacegroup": "No. 1", "total_magnetization_mub_per_atom": 0.00}

***

x | {"formula": "CaIBr2", "functional": "PBE-GGA", "state": "optimized geometry", "cell": [[-6.8878, -5.6781, 4.5836], [3.5589, -8.1164, -4.7064], [0.3922, -7.4153, 2.3873]], "species": ["I", "I", "Ca", "Ca", "Br", "Br", "Br", "Br"], "fractional_positions": [[0.0000, 0.0000, 0.0000], [0.7500, 0.2500, 0.5000], [0.5000, 0.5000, 0.0000], [0.2500, 0.7500, 0.5000], [0.4886, 0.1250, 0.2500], [0.2614, 0.6250, 0.2500], [0.3750, 0.5114, 0.7500], [0.8750, 0.7386, 0.7500]], "spacegroup": "No. 122", "total_magnetization_mub_per_atom": 0.25}

***

Computed stability ranking, most favorable first: w, x